*one*
Compound: Ho6Co2Ru
Source: Alexandria via LeMat-Bulk
Functional: GGA-PBE
Structure: relaxed

```
Ho6Co2Ru
1.0
-1.280 6.008 -2.038
-5.277 -2.448 -3.901
-6.098 1.603 7.243
Ho Co Ru
12 4 2
direct
0.832 0.963 0.241
0.819 0.666 0.577
0.852 0.665 0.920
0.648 0.165 0.580
0.681 0.166 0.923
0.668 0.463 0.259
0.168 0.037 0.759
0.181 0.334 0.423
0.148 0.335 0.080
0.352 0.835 0.420
0.319 0.834 0.077
0.332 0.537 0.741
0.969 0.352 0.699
0.531 0.852 0.801
0.469 0.148 0.199
0.031 0.648 0.301
0.500 0.500 0.000
0.000 0.000 0.500
```

Computed properties:
Symmetry: P2_1/c, No. 14
M_tot (μB per atom): 0.000

***

*two*
Compound: Ho6Co2Ru
Source: Alexandria via LeMat-Bulk
Functional: GGA-PBE
Structure: relaxed

```
Ho6Co2Ru
1.0
0.853 -5.505 -5.900
-0.470 -3.704 7.205
-6.813 4.262 -1.124
Ho Co Ru
12 4 2
direct
0.565 0.741 0.824
0.435 0.259 0.176
0.083 0.259 0.824
0.917 0.741 0.176
0.814 0.738 0.552
0.186 0.262 0.448
0.186 0.738 0.924
0.814 0.262 0.076
0.686 0.358 0.672
0.314 0.642 0.328
0.314 0.986 0.672
0.686 0.014 0.328
0.500 0.386 0.886
0.500 0.614 0.114
0.664 0.000 0.664
0.336 0.000 0.336
0.000 0.500 0.500
0.000 0.000 0.000
```

Computed properties:
Symmetry: Immm, No. 71
M_tot (μB per atom): 0.000

***

Energy relative to the most stable one, in meV per atom: *one* 54; *two* 0